Entry 1:
TaAsRh2: relaxed, GGA-PBEsol.

Lattice parameters (Å, degrees): 8.9556 2.8626 4.6651 90.00 97.33 90.00
Space group C2/m (No. 12)
Asymmetric unit:
Ta (0.0000, 0.0000, 0.0000) x2
As (0.0000, 0.5000, 0.5000) x2
Rh (0.2456, 0.5000, 0.2456) x4

## Properties
ΔE_f in eV per atom: -0.330

***

Entry 2:
TaMnNi6: relaxed, GGA-PBEsol.

Lattice parameters (Å, degrees): 7.1269 10.1096 10.1056 90.00 90.00 90.00
Space group Cmmm (No. 65)
Asymmetric unit:
Ta (0.0000, 0.0000, 0.2445) x4
Ta (0.0000, 0.2475, 0.5000) x4
Mn (0.0000, 0.2472, 0.0000) x4
Mn (0.0000, 0.5000, 0.2438) x4
Ni (0.0000, 0.0000, 0.0000) x2
Ni (0.0000, 0.0000, 0.5000) x2
Ni (0.0000, 0.2511, 0.2488) x8
Ni (0.0000, 0.5000, 0.0000) x2
Ni (0.0000, 0.5000, 0.5000) x2
Ni (0.2474, 0.3760, 0.3737) x16
Ni (0.2477, 0.3741, 0.1238) x16

## Properties
ΔE_f in eV per atom: -0.224

***

Entry 3:
Sm2Si5Ru3: relaxed, GGA-PBEsol.

Lattice parameters (Å, degrees): 10.6935 10.6935 5.6411 90.00 90.00 90.00
Space group P4/mnc (No. 128)
Asymmetric unit:
Sm (0.0712, 0.2348, 0.0000) x8
Si (0.0000, 0.0000, 0.2628) x4
Si (0.0238, 0.3203, 0.5000) x8
Si (0.1732, 0.6732, 0.2500) x8
Ru (0.0000, 0.5000, 0.2500) x4
Ru (0.1239, 0.8540, 0.5000) x8

## Properties
Formation energy (no corrections) in meV/atom: -902